[1]
The following is a GGA+U calculation of a geometry-optimized Mg2VO4 structure, from Alexandria.

Summary:
- E above lowest polymorph (eV/atom) = 0.0892
- magnetization (μB/atom) = 0.14
- crystal system = tetragonal
- mass density (kg/m3) = 2693

Cell and atoms, written as CIF:
```
data_Mg2VO4
_chemical_formula_sum 'Mg4 V2 O8'
_cell_length_a 4.856
_cell_length_b 4.856
_cell_length_c 8.555
_cell_angle_alpha 90.00
_cell_angle_beta 90.00
_cell_angle_gamma 90.00
_symmetry_space_group_name_H-M 'I -4 2 m'
_symmetry_Int_Tables_number 121
_symmetry_space_group_name_Hall 'I -4 2'
loop_
_atom_site_label
_atom_site_fract_x
_atom_site_fract_y
_atom_site_fract_z
Mg1 0.000 0.500 0.250
V1 0.000 0.000 0.000
O1 0.206 0.206 0.134
```

[2]
The following is a GGA+U calculation of a geometry-optimized Mg3V4O8 structure, from Alexandria.

Summary:
- magnetization (μB/atom) = 0.67
- raw total energy (eV for the cell shown) = -213.44
- crystal system = monoclinic
- mass density (kg/m3) = 4216

Cell and atoms, written as CIF:
```
data_Mg3V4O8
_chemical_formula_sum 'Mg6 V8 O16'
_cell_length_a 8.612
_cell_length_b 8.565
_cell_length_c 6.091
_cell_angle_alpha 90.00
_cell_angle_beta 134.80
_cell_angle_gamma 90.00
_symmetry_space_group_name_H-M 'C 1 2/m 1'
_symmetry_Int_Tables_number 12
_symmetry_space_group_name_Hall '-C 2y'
loop_
_atom_site_label
_atom_site_fract_x
_atom_site_fract_y
_atom_site_fract_z
Mg1 0.000 0.000 0.000
Mg2 0.250 0.250 0.000
V1 0.000 0.000 0.500
V2 0.000 0.500 0.000
V3 0.250 0.250 0.500
O1 0.000 0.235 0.500
O2 0.000 0.251 0.000
O3 0.238 0.000 0.979
O4 0.239 0.000 0.508
```

[3]
The following is a GGA+U calculation of a geometry-optimized Mg3V2O7 structure, from Alexandria.

Summary:
- magnetization (μB/atom) = 0.17
- raw total energy (eV for the cell shown) = -329.45
- crystal system = orthorhombic
- mass density (kg/m3) = 3891

Cell and atoms, written as CIF:
```
data_Mg3V2O7
_chemical_formula_sum 'Mg12 V8 O28'
_cell_length_a 17.661
_cell_length_b 5.178
_cell_length_c 5.353
_cell_angle_alpha 90.00
_cell_angle_beta 90.00
_cell_angle_gamma 90.00
_symmetry_space_group_name_H-M 'C m c 21'
_symmetry_Int_Tables_number 36
_symmetry_space_group_name_Hall 'C 2c -2'
loop_
_atom_site_label
_atom_site_fract_x
_atom_site_fract_y
_atom_site_fract_z
Mg1 0.000 0.247 0.000
Mg2 0.193 0.240 0.882
V1 0.105 0.248 0.447
O1 0.000 0.368 0.391
O2 0.079 0.073 0.769
O3 0.131 0.436 0.143
O4 0.205 0.132 0.504
```

[4]
The following is a GGA+U calculation of a geometry-optimized MgVO2 structure, from Alexandria.

Summary:
- magnetization (μB/atom) = 0.75
- raw total energy (eV for the cell shown) = -106.06
- crystal system = tetragonal
- mass density (kg/m3) = 3463

Cell and atoms, written as CIF:
```
data_MgVO2
_chemical_formula_sum 'Mg4 V4 O8'
_cell_length_a 4.726
_cell_length_b 4.726
_cell_length_c 9.212
_cell_angle_alpha 90.00
_cell_angle_beta 90.00
_cell_angle_gamma 90.00
_symmetry_space_group_name_H-M 'I -4 2 d'
_symmetry_Int_Tables_number 122
_symmetry_space_group_name_Hall 'I -4 2bw'
loop_
_atom_site_label
_atom_site_fract_x
_atom_site_fract_y
_atom_site_fract_z
Mg1 0.000 0.000 0.000
V1 0.000 0.000 0.500
O1 0.239 0.250 0.125
```

[5]
The following is a GGA+U calculation of a geometry-optimized Mg2V3O8 structure, from Alexandria.

Summary:
- E above lowest polymorph (eV/atom) = 0.0338
- magnetization (μB/atom) = 0.23
- crystal system = triclinic
- mass density (kg/m3) = 3813

Cell and atoms, written as CIF:
```
data_Mg2V3O8
_chemical_formula_sum 'Mg4 V6 O16'
_cell_length_a 4.923
_cell_length_b 5.956
_cell_length_c 9.851
_cell_angle_alpha 89.94
_cell_angle_beta 83.38
_cell_angle_gamma 90.00
_symmetry_space_group_name_H-M 'P 1'
_symmetry_Int_Tables_number 1
_symmetry_space_group_name_Hall 'P 1'
loop_
_atom_site_label
_atom_site_fract_x
_atom_site_fract_y
_atom_site_fract_z
Mg1 0.000 0.000 0.000
Mg2 0.129 0.001 0.552
Mg3 0.489 0.494 0.500
Mg4 0.641 0.494 0.051
V1 0.064 0.501 0.776
V2 0.064 0.749 0.276
V3 0.065 0.278 0.276
V4 0.564 0.233 0.776
V5 0.564 0.767 0.776
V6 0.565 0.994 0.276
O1 0.242 0.001 0.168
O2 0.257 0.481 0.171
O3 0.287 0.276 0.659
O4 0.287 0.726 0.659
O5 0.340 0.223 0.392
O6 0.344 0.757 0.390
O7 0.358 0.500 0.883
O8 0.376 0.001 0.880
O9 0.752 0.001 0.672
O10 0.770 0.501 0.669
O11 0.785 0.757 0.161
O12 0.789 0.224 0.160
O13 0.842 0.275 0.893
O14 0.842 0.726 0.892
O15 0.873 0.481 0.380
O16 0.887 0.000 0.384
```

[6]
The following is a GGA+U calculation of a geometry-optimized MgVO2 structure, from Alexandria.

Summary:
- magnetization (μB/atom) = 0.63
- raw total energy (eV for the cell shown) = -212.87
- crystal system = monoclinic
- mass density (kg/m3) = 3932

Cell and atoms, written as CIF:
```
data_MgVO2
_chemical_formula_sum 'Mg8 V8 O16'
_cell_length_a 15.565
_cell_length_b 2.973
_cell_length_c 10.409
_cell_angle_alpha 90.00
_cell_angle_beta 131.21
_cell_angle_gamma 90.00
_symmetry_space_group_name_H-M 'C 1 2/m 1'
_symmetry_Int_Tables_number 12
_symmetry_space_group_name_Hall '-C 2y'
loop_
_atom_site_label
_atom_site_fract_x
_atom_site_fract_y
_atom_site_fract_z
Mg1 0.020 0.000 0.374
Mg2 0.179 0.500 0.708
V1 0.140 0.500 0.965
V2 0.162 0.000 0.319
O1 0.040 0.500 0.256
O2 0.152 0.000 0.108
O3 0.158 0.000 0.829
O4 0.203 0.000 0.576
```

[7]
The following is a GGA+U calculation of a geometry-optimized MgVWO6 structure, from Alexandria.

Summary:
- magnetization (μB/atom) = 0.11
- raw total energy (eV for the cell shown) = -129.85
- crystal system = trigonal
- mass density (kg/m3) = 5765

Cell and atoms, written as CIF:
```
data_MgVWO6
_chemical_formula_sum 'Mg2 V2 W2 O12'
_cell_length_a 5.0747
_cell_length_b 5.0747
_cell_length_c 9.1716
_cell_angle_alpha 90.00
_cell_angle_beta 90.00
_cell_angle_gamma 120.00
_symmetry_space_group_name_H-M 'P -3 1 c'
_symmetry_Int_Tables_number 163
_symmetry_space_group_name_Hall '-P 3 2c'
loop_
_atom_site_label
_atom_site_fract_x
_atom_site_fract_y
_atom_site_fract_z
Mg1 0.0000 0.0000 0.0000
V1 0.3333 0.6667 0.2500
W1 0.3333 0.6667 0.7500
O1 0.0020 0.3524 0.6346
```

[8]
The following is a GGA+U calculation of a geometry-optimized Mg2VWO6 structure, from Alexandria.

Summary:
- E above lowest polymorph (eV/atom) = 0.0320
- magnetization (μB/atom) = 0.30
- crystal system = monoclinic
- mass density (kg/m3) = 5852

Cell and atoms, written as CIF:
```
data_Mg2VWO6
_chemical_formula_sum 'Mg4 V2 W2 O12'
_cell_length_a 5.212
_cell_length_b 5.357
_cell_length_c 9.247
_cell_angle_alpha 90.00
_cell_angle_beta 123.50
_cell_angle_gamma 90.00
_symmetry_space_group_name_H-M 'P 1 21/c 1'
_symmetry_Int_Tables_number 14
_symmetry_space_group_name_Hall '-P 2ybc'
loop_
_atom_site_label
_atom_site_fract_x
_atom_site_fract_y
_atom_site_fract_z
Mg1 0.244 0.042 0.242
V1 0.000 0.000 0.500
W1 0.500 0.000 0.000
O1 0.117 0.176 0.940
O2 0.248 0.682 0.925
O3 0.382 0.083 0.758
```

[9]
The following is a GGA+U calculation of a geometry-optimized Mg2VWO6 structure, from Alexandria.

Summary:
- E above lowest polymorph (eV/atom) = 0.0000
- magnetization (μB/atom) = 0.30
- crystal system = triclinic
- mass density (kg/m3) = 5715

Cell and atoms, written as CIF:
```
data_Mg2VWO6
_chemical_formula_sum 'Mg2 V1 W1 O6'
_cell_length_a 5.177
_cell_length_b 5.205
_cell_length_c 5.551
_cell_angle_alpha 62.58
_cell_angle_beta 62.39
_cell_angle_gamma 60.77
_symmetry_space_group_name_H-M 'P 1'
_symmetry_Int_Tables_number 1
_symmetry_space_group_name_Hall 'P 1'
loop_
_atom_site_label
_atom_site_fract_x
_atom_site_fract_y
_atom_site_fract_z
Mg1 0.000 0.000 0.000
Mg2 0.495 0.511 0.499
V1 0.707 0.709 0.876
W1 0.205 0.209 0.381
O1 0.092 0.823 0.666
O2 0.319 0.595 0.164
O3 0.416 0.105 0.653
O4 0.590 0.926 0.168
O5 0.816 0.429 0.666
O6 0.942 0.314 0.167
```

[10]
The following is a GGA+U calculation of a geometry-optimized YMgVO2 structure, from Alexandria.

Summary:
- magnetization (μB/atom) = 0.81
- raw total energy (eV for the cell shown) = -24.87
- crystal system = tetragonal
- mass density (kg/m3) = 3655

Cell and atoms, written as CIF:
```
data_YMgVO2
_chemical_formula_sum 'Y1 Mg1 V1 O2'
_cell_length_a 4.027
_cell_length_b 4.027
_cell_length_c 5.495
_cell_angle_alpha 90.00
_cell_angle_beta 90.00
_cell_angle_gamma 90.00
_symmetry_space_group_name_H-M 'P 4/m m m'
_symmetry_Int_Tables_number 123
_symmetry_space_group_name_Hall '-P 4 2'
loop_
_atom_site_label
_atom_site_fract_x
_atom_site_fract_y
_atom_site_fract_z
Y1 0.000 0.000 0.000
Mg1 0.000 0.000 0.500
V1 0.500 0.500 0.000
O1 0.000 0.500 0.500
```

[11]
The following is a GGA+U calculation of a geometry-optimized Mg30VZnO32 structure, from Alexandria.

Summary:
- magnetization (μB/atom) = 0.05
- raw total energy (eV for the cell shown) = -383.54
- crystal system = tetragonal
- mass density (kg/m3) = 3633

Cell and atoms, written as CIF:
```
data_Mg30VZnO32
_chemical_formula_sum 'Mg30 V1 Zn1 O32'
_cell_length_a 8.529
_cell_length_b 8.529
_cell_length_c 8.529
_cell_angle_alpha 90.00
_cell_angle_beta 90.00
_cell_angle_gamma 90.00
_symmetry_space_group_name_H-M 'P 4/m m m'
_symmetry_Int_Tables_number 123
_symmetry_space_group_name_Hall '-P 4 2'
loop_
_atom_site_label
_atom_site_fract_x
_atom_site_fract_y
_atom_site_fract_z
Mg1 0.000 0.000 0.000
Mg2 0.000 0.000 0.500
Mg3 0.000 0.250 0.250
Mg4 0.000 0.500 0.000
Mg5 0.000 0.500 0.500
Mg6 0.249 0.500 0.249
Mg7 0.250 0.250 0.000
Mg8 0.250 0.250 0.500
V1 0.500 0.500 0.500
Zn1 0.500 0.500 0.000
O1 0.000 0.000 0.250
O2 0.000 0.249 0.500
O3 0.000 0.250 0.000
O4 0.000 0.500 0.250
O5 0.245 0.500 0.500
O6 0.246 0.500 0.000
O7 0.250 0.250 0.250
O8 0.500 0.500 0.248
```

[12]
The following is a GGA+U calculation of a geometry-optimized Mg2VZn2O6 structure, from Alexandria.

Summary:
- magnetization (μB/atom) = 0.09
- raw total energy (eV for the cell shown) = -62.58
- crystal system = trigonal
- mass density (kg/m3) = 4753

Cell and atoms, written as CIF:
```
data_Mg2VZn2O6
_chemical_formula_sum 'Mg2 V1 Zn2 O6'
_cell_length_a 5.0947
_cell_length_b 5.0947
_cell_length_c 5.0724
_cell_angle_alpha 90.00
_cell_angle_beta 90.00
_cell_angle_gamma 120.00
_symmetry_space_group_name_H-M 'P -3 1 m'
_symmetry_Int_Tables_number 162
_symmetry_space_group_name_Hall '-P 3 2'
loop_
_atom_site_label
_atom_site_fract_x
_atom_site_fract_y
_atom_site_fract_z
Mg1 0.3333 0.6667 0.0000
V1 0.0000 0.0000 0.5000
Zn1 0.3333 0.6667 0.5000
O1 0.0000 0.3237 0.7374
```

[13]
The following is a GGA+U calculation of a geometry-optimized MgVZnO4 structure, from Alexandria.

Summary:
- magnetization (μB/atom) = 0.14
- raw total energy (eV for the cell shown) = -176.16
- crystal system = orthorhombic
- mass density (kg/m3) = 4447

Cell and atoms, written as CIF:
```
data_MgVZnO4
_chemical_formula_sum 'Mg4 V4 Zn4 O16'
_cell_length_a 6.063
_cell_length_b 6.126
_cell_length_c 8.230
_cell_angle_alpha 90.00
_cell_angle_beta 90.00
_cell_angle_gamma 90.00
_symmetry_space_group_name_H-M 'I m m a'
_symmetry_Int_Tables_number 74
_symmetry_space_group_name_Hall '-I 2b 2'
loop_
_atom_site_label
_atom_site_fract_x
_atom_site_fract_y
_atom_site_fract_z
Mg1 0.000 0.000 0.000
V1 0.000 0.250 0.376
Zn1 0.250 0.250 0.750
O1 0.000 0.003 0.745
O2 0.240 0.250 0.004
```

[14]
The following is a GGA+U calculation of a geometry-optimized MgZrV2O6 structure, from Alexandria.

Summary:
- magnetization (μB/atom) = 0.40
- raw total energy (eV for the cell shown) = -80.21
- crystal system = triclinic
- mass density (kg/m3) = 4603

Cell and atoms, written as CIF:
```
data_MgZrV2O6
_chemical_formula_sum 'Mg1 Zr1 V2 O6'
_cell_length_a 5.256
_cell_length_b 5.258
_cell_length_c 5.610
_cell_angle_alpha 90.01
_cell_angle_beta 117.86
_cell_angle_gamma 119.98
_symmetry_space_group_name_H-M 'P 1'
_symmetry_Int_Tables_number 1
_symmetry_space_group_name_Hall 'P 1'
loop_
_atom_site_label
_atom_site_fract_x
_atom_site_fract_y
_atom_site_fract_z
Mg1 0.000 0.000 0.000
Zr1 0.004 0.502 0.506
V1 0.580 0.790 0.370
V2 0.587 0.294 0.881
O1 0.087 0.406 0.171
O2 0.089 0.182 0.670
O3 0.487 0.907 0.669
O4 0.490 0.084 0.172
O5 0.762 0.580 0.669
O6 0.766 0.682 0.172
```

[15]
The following is a GGA+U calculation of a geometry-optimized Mg4W2O9 structure, from Alexandria.

Summary:
- magnetization (μB/atom) = 0.13
- raw total energy (eV for the cell shown) = -405.49
- crystal system = monoclinic
- mass density (kg/m3) = 6016

Cell and atoms, written as CIF:
```
data_Mg4W2O9
_chemical_formula_sum 'Mg16 W8 O36'
_cell_length_a 9.120
_cell_length_b 5.193
_cell_length_c 14.194
_cell_angle_alpha 90.00
_cell_angle_beta 90.75
_cell_angle_gamma 90.00
_symmetry_space_group_name_H-M 'C 1 2/c 1'
_symmetry_Int_Tables_number 15
_symmetry_space_group_name_Hall '-C 2yc'
loop_
_atom_site_label
_atom_site_fract_x
_atom_site_fract_y
_atom_site_fract_z
Mg1 0.170 0.003 0.312
Mg2 0.172 0.003 0.518
W1 0.002 0.494 0.645
O1 0.000 0.216 0.250
O2 0.012 0.173 0.914
O3 0.148 0.356 0.751
O4 0.156 0.301 0.417
O5 0.174 0.346 0.086
```

[16]
The following is a GGA+U calculation of a geometry-optimized MgWO3 structure, from Alexandria.

Summary:
- magnetization (μB/atom) = 0.40
- raw total energy (eV for the cell shown) = -66.45
- crystal system = monoclinic
- mass density (kg/m3) = 6212

Cell and atoms, written as CIF:
```
data_MgWO3
_chemical_formula_sum 'Mg2 W2 O6'
_cell_length_a 5.516
_cell_length_b 6.047
_cell_length_c 4.162
_cell_angle_alpha 90.00
_cell_angle_beta 99.45
_cell_angle_gamma 90.00
_symmetry_space_group_name_H-M 'C 1 m 1'
_symmetry_Int_Tables_number 8
_symmetry_space_group_name_Hall 'C -2y'
loop_
_atom_site_label
_atom_site_fract_x
_atom_site_fract_y
_atom_site_fract_z
Mg1 0.000 0.000 0.000
W1 0.435 0.000 0.743
O1 0.213 0.271 0.812
O2 0.369 0.000 0.266
```

[17]
The following is a GGA+U calculation of a geometry-optimized MgW2O structure, from Alexandria.

Summary:
- E above lowest polymorph (eV/atom) = 0.0000
- magnetization (μB/atom) = 1.63
- crystal system = tetragonal
- mass density (kg/m3) = 6836

Cell and atoms, written as CIF:
```
data_MgW2O
_chemical_formula_sum 'Mg4 W8 O4'
_cell_length_a 5.592
_cell_length_b 5.592
_cell_length_c 12.675
_cell_angle_alpha 90.00
_cell_angle_beta 90.00
_cell_angle_gamma 90.00
_symmetry_space_group_name_H-M 'I 41/a m d'
_symmetry_Int_Tables_number 141
loop_
_symmetry_equiv_pos_as_xyz
'x,y,z'
'-x,-y,-z'
'-y+1/4,x+3/4,z+1/4'
'y+1/4,-x+3/4,-z+1/4'
'-x+1/2,-y,z+1/2'
'x+1/2,y,-z+1/2'
'y+1/4,-x+1/4,z+3/4'
'-y+1/4,x+1/4,-z+3/4'
'x,-y,-z'
'-x,y,z'
'-y+1/4,-x+1/4,-z+3/4'
'y+1/4,x+1/4,z+3/4'
'-x+1/2,y,-z+1/2'
'x+1/2,-y,z+1/2'
'y+1/4,x+3/4,-z+1/4'
'-y+1/4,-x+3/4,z+1/4'
'x+1/2,y+1/2,z+1/2'
'-x+1/2,-y+1/2,-z+1/2'
'-y+3/4,x+1/4,z+3/4'
'y+3/4,-x+1/4,-z+3/4'
'-x,-y+1/2,z'
'x,y+1/2,-z'
'y+3/4,-x+3/4,z+1/4'
'-y+3/4,x+3/4,-z+1/4'
'x+1/2,-y+1/2,-z+1/2'
'-x+1/2,y+1/2,z+1/2'
'-y+3/4,-x+3/4,-z+1/4'
'y+3/4,x+3/4,z+1/4'
'-x,y+1/2,-z'
'x,-y+1/2,z'
'y+3/4,x+1/4,-z+3/4'
'-y+3/4,-x+1/4,z+3/4'
loop_
_atom_site_label
_atom_site_fract_x
_atom_site_fract_y
_atom_site_fract_z
Mg1 0.000 0.250 0.375
W1 0.000 0.000 0.000
O1 0.000 0.250 0.875
```